Material: Li4Mg5Ag
Method: DFT, PBE
State: relaxed

Summary:
Raw total energy ... -18.21 eV for the cell shown
Total magnetic moment ... 0.00 μB per formula unit
Symmetry ... I4mm (107)
DOS at the Fermi energy ... 3.50 states/eV/cell
Calculated formation energy ... 27 meV/atom

Unit cell a=7.0866 b=7.0866 c=7.0866 alpha=98.31 beta=98.31 gamma=135.31
Closest atoms and distances in Å follow each position.
Sites, in units of the cell vectors:
Li  0.0000  0.3043  0.3043  5 Mg 2.90-3.23, 1 Ag 3.13
Li  0.0000  0.6957  0.6957  5 Mg 2.90-3.23, 1 Ag 3.13
Li  0.3043  0.0000  0.3043  5 Mg 2.90-3.23, 1 Ag 3.13
Li  0.6957  0.0000  0.6957  5 Mg 2.90-3.23, 1 Ag 3.13
Mg  0.2237  0.2237  0.0000  2 Ag 2.56-2.83
Mg  0.3495  0.3495  0.6236  1 Ag 2.72, 2 Li 2.90, 1 Mg 2.99
Mg  0.3495  0.7259  0.0000  1 Ag 2.72, 2 Li 2.90, 1 Mg 2.99
Mg  0.7259  0.3495  0.0000  1 Ag 2.72, 2 Li 2.90, 1 Mg 2.99
Mg  0.7259  0.7259  0.3764  1 Ag 2.72, 2 Li 2.90, 1 Mg 2.99
Ag  0.7485  0.7485  0.0000  6 Mg 2.56-2.83